Here is an optimized crystal structure of Li3Tl2PbI8 from Alexandria via LeMat-Bulk. Energies are from PBE.

Summary:
Symmetry = No. 160

Cell lengths 9.4813, 9.4813, 9.4813 Å; angles 57.58, 57.58, 57.58 degrees
Element x y z (fractional)
Li 0.1709 0.1709 0.6583
Li 0.1709 0.6583 0.1709
Li 0.6583 0.1709 0.1709
Tl 0.1618 0.1618 0.1618
Tl 0.7938 0.7938 0.7938
Pb 0.5369 0.5369 0.5369
I 0.3812 0.9053 0.9053
I 0.3971 0.3971 0.3971
I 0.4203 0.4203 0.9433
I 0.4203 0.9433 0.4203
I 0.9053 0.3812 0.9053
I 0.9053 0.9053 0.3812
I 0.9308 0.9308 0.9308
I 0.9433 0.4203 0.4203

---

Here is an optimized crystal structure of LiPdI3 from Alexandria via LeMat-Bulk. Energies are from PBE.

Summary:
Distance to the lowest polymorph of the same formula = 0.721 eV/f.u.
Symmetry = No. 221

Cell lengths 5.5651, 5.5651, 5.5651 Å; angles 90.00, 90.00, 90.00 degrees
Element x y z (fractional)
Li 0.0000 0.0000 0.0000
Pd 0.5000 0.5000 0.5000
I 0.0000 0.5000 0.5000
I 0.5000 0.0000 0.5000
I 0.5000 0.5000 0.0000

---

no.,formation energy from raw total energies (eV/atom)
1,-0.755
2,-0.347